Here is a relaxed CdAgPO2 crystal from the Alexandria database. Energies are from PBE.

As for the symmetry: P4/mmm (123). The calculation puts the formation energy from raw total energies at 0.50 eV per atom. The value obtained for the total magnetic moment is 0.0002 μB per atom. The value obtained for the density is 5.73 Mg/m³.

Cell: 4.034 4.034 5.047 Å, 90.00 90.00 90.00°
Atoms (fractional coordinates):
1 Ag 0.000 0.000 0.000
2 P 0.000 0.000 0.500
3 Cd 0.500 0.500 0.500
4 O 0.000 0.500 0.000
5 O 0.500 0.000 0.000



Here is a relaxed PaCd2AgO6 crystal from the Alexandria database. Energies are from PBE.

As for the symmetry: C2/m (12). The calculation puts the formation energy from raw total energies at -1.64 eV per atom. The value obtained for the total magnetic moment is 0.0000 μB per atom. The value obtained for the density is 7.07 Mg/m³.

Cell: 6.476 5.374 6.476 Å, 62.52 53.36 62.52°
Atoms (fractional coordinates):
1 O 0.633 0.177 0.368
2 O 0.460 0.644 0.724
3 O 0.643 0.988 0.907
4 Cd 0.568 0.631 0.304
5 Pa 0.816 0.816 0.551
6 O 0.000 0.455 0.734
7 Cd 0.064 0.001 0.799
8 Ag 0.316 0.316 0.052
9 O 0.989 0.644 0.196
10 O 0.172 0.988 0.379



Here is a relaxed PaCdAg2O8 crystal from the Alexandria database. Energies are from PBE.

As for the symmetry: I-4m2 (119). The calculation puts the formation energy from raw total energies at -0.78 eV per atom. The value obtained for the total magnetic moment is 0.0000 μB per atom. The value obtained for the density is 6.28 Mg/m³.

Cell: 6.183 6.183 6.183 Å, 108.38 108.38 111.68°
Atoms (fractional coordinates):
1 O 0.906 0.731 0.175
2 O 0.269 0.444 0.175
3 Cd 0.250 0.750 0.500
4 O 0.716 0.029 0.688
5 O 0.971 0.284 0.312
6 Ag 0.750 0.250 0.500
7 O 0.971 0.659 0.688
8 O 0.556 0.731 0.825
9 O 0.269 0.094 0.825
10 Ag 0.500 0.500 0.000
11 Pa 0.000 0.000 0.000
12 O 0.341 0.029 0.312



Here is a relaxed PaCdAgO6 crystal from the Alexandria database. Energies are from PBE.

As for the symmetry: P312 (149). The calculation puts the formation energy from raw total energies at -1.36 eV per atom. The value obtained for the total magnetic moment is 0.0000 μB per atom. The value obtained for the density is 7.35 Mg/m³.

Cell: 4.713 5.503 5.503 Å, 120.00 90.00 90.00°
Atoms (fractional coordinates):
1 O 0.254 0.675 0.982
2 O 0.254 0.018 0.694
3 O 0.254 0.306 0.325
4 O 0.746 0.018 0.325
5 O 0.746 0.675 0.694
6 Cd 0.500 0.667 0.333
7 Ag 0.500 0.000 0.000
8 O 0.746 0.306 0.982
9 Pa 0.000 0.333 0.667